(1)
Here is CaCuCO4 after structural relaxation from Alexandria. Energies are from PBE.

extended XYZ file:
```
14
Lattice="-2.608 3.896 3.866 2.608 -3.896 3.866 2.608 3.896 -3.866" Properties=species:S:1:pos:R:3 pbc="T T T"
Ca 0.000 0.000 0.000
Ca 0.000 3.896 0.000
Cu -1.304 1.948 1.933
Cu 1.304 1.948 1.933
C 2.608 1.948 -0.734
C 0.000 1.948 4.600
O 2.608 -0.803 1.441
O 2.608 3.093 -1.441
O 1.408 1.948 0.131
O 3.807 1.948 0.131
O -1.199 1.948 3.735
O 1.199 1.948 3.735
O 0.000 0.803 5.307
O 0.000 4.698 2.424
```

SG: Imma (74)

(2)
Here is YFeTeI2 after structural relaxation from Alexandria. Energies are from PBE.

extended XYZ file:
```
5
Lattice="5.954 0.000 0.000 0.000 5.954 0.000 0.000 0.000 5.992" Properties=species:S:1:pos:R:3 pbc="T T T"
Y 0.000 0.000 0.000
Fe 2.977 2.977 2.996
Te 0.000 0.000 2.996
I 0.000 2.977 0.000
I 2.977 0.000 0.000
```

SG: P4/mmm (123)
relative energy among the computed polymorphs: 1.2 kJ/mol of atoms

Raw formation energy
In order: -1320 38
Unit: meV per atom
VASP energy
In order: -6.342 -4.196
Unit: eV per atom
Density of states at the Fermi level
In order: 6.93 9.26
Unit: states/eV/cell